one:
{
  "formula": "Pu2ZnRu3",
  "functional": "PBE",
  "state": "optimized geometry",
  "lattice_angstrom": [[4.4109, -2.7252, 0.0000], [4.4109, 2.7252, 0.0000], [-2.7102, 0.0000, 4.4062]],
  "species": ["Pu", "Pu", "Zn", "Ru", "Ru", "Ru"],
  "fractional_positions": [[0.1246, 0.1246, 0.3759], [0.8754, 0.8754, 0.6241], [0.5000, 0.5000, 0.0000], [0.0000, 0.5000, 0.0000], [0.5000, 0.0000, 0.0000], [0.5000, 0.5000, 0.5000]],
  "n_ef_per_ev_atom": 2.84,
  "magmom_total_mub_per_fu": 8.46,
  "crystal_system": "monoclinic"
}

=====

two:
{
  "formula": "Pu2ZnRu3",
  "functional": "PBE",
  "state": "optimized geometry",
  "lattice_angstrom": [[6.1405, -3.9271, 0.0000], [6.1405, 3.9271, 0.0000], [-0.3464, 0.0000, 4.5489]],
  "species": ["Pu", "Pu", "Pu", "Pu", "Zn", "Zn", "Ru", "Ru", "Ru", "Ru", "Ru", "Ru"],
  "fractional_positions": [[0.0457, 0.6793, 0.6347], [0.3207, 0.9543, 0.8653], [0.6793, 0.0457, 0.1347], [0.9543, 0.3207, 0.3653], [0.4391, 0.5609, 0.2500], [0.5609, 0.4391, 0.7500], [0.1047, 0.8953, 0.2500], [0.2100, 0.4033, 0.9636], [0.4033, 0.2100, 0.4636], [0.5967, 0.7900, 0.5364], [0.7900, 0.5967, 0.0364], [0.8953, 0.1047, 0.7500]],
  "n_ef_per_ev_atom": 1.90,
  "magmom_total_mub_per_fu": 7.92,
  "crystal_system": "monoclinic"
}

=====

Stability summary: most stable one, least stable two.

=====

one:
{
  "formula": "PuZrRu",
  "functional": "PBE",
  "state": "optimized geometry",
  "lattice_angstrom": [[-1.6436, 1.6436, 5.7340], [1.6436, -1.6436, 5.7340], [1.6436, 1.6436, -5.7340]],
  "species": ["Pu", "Zr", "Ru"],
  "fractional_positions": [[0.0000, 0.0000, 0.0000], [0.2950, 0.2950, 0.0000], [0.6610, 0.6610, 0.0000]],
  "n_ef_per_ev_atom": 2.42,
  "magmom_total_mub_per_fu": 5.58,
  "crystal_system": "tetragonal"
}

=====

two:
{
  "formula": "PuZrRu",
  "functional": "PBE",
  "state": "optimized geometry",
  "lattice_angstrom": [[9.8138, 0.0000, 0.0000], [0.0000, 3.2077, 0.0000], [0.0000, 0.0000, 7.4438]],
  "species": ["Pu", "Pu", "Pu", "Pu", "Zr", "Zr", "Zr", "Zr", "Ru", "Ru", "Ru", "Ru"],
  "fractional_positions": [[0.0830, 0.2500, 0.0292], [0.4170, 0.7500, 0.5292], [0.5830, 0.2500, 0.4708], [0.9170, 0.7500, 0.9708], [0.1065, 0.2500, 0.6338], [0.3935, 0.7500, 0.1338], [0.6065, 0.2500, 0.8662], [0.8935, 0.7500, 0.3662], [0.1723, 0.7500, 0.3523], [0.3277, 0.2500, 0.8523], [0.6723, 0.7500, 0.1477], [0.8277, 0.2500, 0.6477]],
  "n_ef_per_ev_atom": 1.62,
  "magmom_total_mub_per_fu": 0.00,
  "crystal_system": "orthorhombic"
}

=====

Stability summary: most stable one, least stable two.

=====

one:
{
  "formula": "PuZr2Ru",
  "functional": "PBE",
  "state": "optimized geometry",
  "lattice_angstrom": [[3.2502, 0.0000, 0.0000], [0.0000, 3.2502, 0.0000], [0.0000, 0.0000, 7.7704]],
  "species": ["Pu", "Zr", "Zr", "Ru"],
  "fractional_positions": [[0.0000, 0.0000, 0.0000], [0.5000, 0.5000, 0.2870], [0.5000, 0.5000, 0.7130], [0.0000, 0.0000, 0.5000]],
  "n_ef_per_ev_atom": 1.26,
  "magmom_total_mub_per_fu": 5.31,
  "crystal_system": "tetragonal"
}

=====

two:
{
  "formula": "PuZr2Ru",
  "functional": "PBE",
  "state": "optimized geometry",
  "lattice_angstrom": [[0.0000, 3.4168, 3.4168], [3.4168, 0.0000, 3.4168], [3.4168, 3.4168, 0.0000]],
  "species": ["Pu", "Zr", "Zr", "Ru"],
  "fractional_positions": [[0.0000, 0.0000, 0.0000], [0.2500, 0.2500, 0.2500], [0.7500, 0.7500, 0.7500], [0.5000, 0.5000, 0.5000]],
  "n_ef_per_ev_atom": 3.30,
  "magmom_total_mub_per_fu": 5.32,
  "crystal_system": "cubic"
}

=====

Stability summary: most stable one, least stable two.

=====

one:
{
  "formula": "Sm3PuS4",
  "functional": "PBE",
  "state": "optimized geometry",
  "lattice_angstrom": [[5.6538, 0.0000, 0.0000], [0.0000, 5.6538, 0.0000], [0.0000, 0.0000, 5.6538]],
  "species": ["Sm", "Sm", "Sm", "Pu", "S", "S", "S", "S"],
  "fractional_positions": [[0.0000, 0.0000, 0.5000], [0.0000, 0.5000, 0.0000], [0.5000, 0.0000, 0.0000], [0.5000, 0.5000, 0.5000], [0.0000, 0.0000, 0.0000], [0.0000, 0.5000, 0.5000], [0.5000, 0.0000, 0.5000], [0.5000, 0.5000, 0.0000]],
  "n_ef_per_ev_atom": 1.10,
  "magmom_total_mub_per_fu": 6.08,
  "crystal_system": "cubic"
}

=====

two:
{
  "formula": "Sm3PuS4",
  "functional": "PBE",
  "state": "optimized geometry",
  "lattice_angstrom": [[-2.8235, 2.8235, 5.6631], [2.8235, -2.8235, 5.6631], [2.8235, 2.8235, -5.6631]],
  "species": ["Sm", "Sm", "Sm", "Pu", "S", "S", "S", "S"],
  "fractional_positions": [[0.0000, 0.0000, 0.0000], [0.2500, 0.7500, 0.5000], [0.7500, 0.2500, 0.5000], [0.5000, 0.5000, 0.0000], [0.0000, 0.5000, 0.5000], [0.2520, 0.2520, 0.0000], [0.5000, 0.0000, 0.5000], [0.7480, 0.7480, 0.0000]],
  "n_ef_per_ev_atom": 0.95,
  "magmom_total_mub_per_fu": 5.93,
  "crystal_system": "tetragonal"
}

=====

Stability summary: most stable two, least stable one.

=====

one:
{
  "formula": "Tb2PuS4",
  "functional": "PBE",
  "state": "optimized geometry",
  "lattice_angstrom": [[7.2707, -2.0028, 0.0000], [7.2707, 2.0028, 0.0000], [-2.9493, 0.0000, 6.2424]],
  "species": ["Tb", "Tb", "Pu", "S", "S", "S", "S"],
  "fractional_positions": [[0.2256, 0.2256, 0.2198], [0.7744, 0.7744, 0.7802], [0.5000, 0.5000, 0.5000], [0.1409, 0.1409, 0.5094], [0.3710, 0.3710, 0.0546], [0.6290, 0.6290, 0.9454], [0.8591, 0.8591, 0.4906]],
  "n_ef_per_ev_atom": 1.54,
  "magmom_total_mub_per_fu": 5.98,
  "crystal_system": "monoclinic"
}

=====

two:
{
  "formula": "Tb2PuS4",
  "functional": "PBE",
  "state": "optimized geometry",
  "lattice_angstrom": [[1.9446, -6.4847, 0.0000], [1.9446, 6.4847, 0.0000], [0.0000, 0.0000, 13.1453]],
  "species": ["Tb", "Tb", "Tb", "Tb", "Pu", "Pu", "S", "S", "S", "S", "S", "S", "S", "S"],
  "fractional_positions": [[0.1326, 0.8674, 0.5685], [0.1326, 0.8674, 0.9315], [0.8674, 0.1326, 0.0685], [0.8674, 0.1326, 0.4315], [0.3805, 0.6195, 0.7500], [0.6195, 0.3805, 0.2500], [0.0353, 0.9647, 0.7500], [0.2267, 0.7733, 0.1223], [0.2267, 0.7733, 0.3777], [0.5000, 0.5000, 0.0000], [0.5000, 0.5000, 0.5000], [0.7733, 0.2267, 0.6223], [0.7733, 0.2267, 0.8777], [0.9647, 0.0353, 0.2500]],
  "n_ef_per_ev_atom": 2.17,
  "magmom_total_mub_per_fu": 5.58,
  "crystal_system": "orthorhombic"
}

=====

Stability summary: most stable two, least stable one.

=====

one:
{
  "formula": "PuTeS",
  "functional": "PBE",
  "state": "optimized geometry",
  "lattice_angstrom": [[2.8016, -2.7127, 0.0000], [2.8016, 2.7127, 0.0000], [-0.2868, 0.0000, 10.6010]],
  "species": ["Pu", "Pu", "Te", "Te", "S", "S"],
  "fractional_positions": [[0.2336, 0.2336, 0.3387], [0.7664, 0.7664, 0.6613], [0.3963, 0.3963, 0.8763], [0.6037, 0.6037, 0.1237], [0.2532, 0.2532, 0.6025], [0.7468, 0.7468, 0.3975]],
  "n_ef_per_ev_atom": 2.63,
  "magmom_total_mub_per_fu": 5.10,
  "crystal_system": "monoclinic"
}

=====

two:
{
  "formula": "PuTeS",
  "functional": "PBE",
  "state": "optimized geometry",
  "lattice_angstrom": [[7.2982, 0.0000, 0.0000], [0.0000, 3.8026, 0.0000], [0.0000, 0.0000, 11.4110]],
  "species": ["Pu", "Pu", "Pu", "Pu", "Te", "Te", "Te", "Te", "S", "S", "S", "S"],
  "fractional_positions": [[0.2064, 0.2500, 0.1928], [0.2936, 0.7500, 0.6928], [0.7064, 0.2500, 0.3072], [0.7936, 0.7500, 0.8072], [0.1757, 0.7500, 0.9706], [0.3243, 0.2500, 0.4706], [0.6757, 0.7500, 0.5294], [0.8243, 0.2500, 0.0294], [0.0191, 0.2500, 0.7159], [0.4809, 0.7500, 0.2159], [0.5191, 0.2500, 0.7841], [0.9809, 0.7500, 0.2841]],
  "n_ef_per_ev_atom": 2.42,
  "magmom_total_mub_per_fu": 4.87,
  "crystal_system": "orthorhombic"
}

=====

three:
{
  "formula": "PuTeS",
  "functional": "PBE",
  "state": "optimized geometry",
  "lattice_angstrom": [[4.1981, 0.0000, 0.0000], [-2.0991, 3.6357, 0.0000], [0.0000, 0.0000, 6.6107]],
  "species": ["Pu", "Te", "S"],
  "fractional_positions": [[0.0000, 0.0000, 0.0000], [0.6667, 0.3333, 0.2819], [0.3333, 0.6667, 0.8301]],
  "n_ef_per_ev_atom": 3.56,
  "magmom_total_mub_per_fu": 3.99,
  "crystal_system": "trigonal"
}

=====

Stability summary: most stable two, least stable three.

=====

one:
{
  "formula": "PuTeS",
  "functional": "PBE",
  "state": "optimized geometry",
  "lattice_angstrom": [[-2.0914, 2.0914, 8.6359], [2.0914, -2.0914, 8.6359], [2.0914, 2.0914, -8.6359]],
  "species": ["Pu", "Pu", "Te", "Te", "S", "S"],
  "fractional_positions": [[0.1596, 0.1596, 0.0000], [0.8404, 0.8404, 0.0000], [0.0000, 0.5000, 0.5000], [0.5000, 0.0000, 0.5000], [0.3174, 0.3174, 0.0000], [0.6826, 0.6826, 0.0000]],
  "n_ef_per_ev_atom": 3.42,
  "magmom_total_mub_per_fu": 5.32,
  "crystal_system": "tetragonal"
}

=====

two:
{
  "formula": "PuTeS",
  "functional": "PBE",
  "state": "optimized geometry",
  "lattice_angstrom": [[-1.8198, 1.8198, 5.6153], [1.8198, -1.8198, 5.6153], [1.8198, 1.8198, -5.6153]],
  "species": ["Pu", "Te", "S"],
  "fractional_positions": [[0.0000, 0.0000, 0.0000], [0.3093, 0.3093, 0.0000], [0.5914, 0.5914, 0.0000]],
  "n_ef_per_ev_atom": 3.23,
  "magmom_total_mub_per_fu": 4.88,
  "crystal_system": "tetragonal"
}

=====

Stability summary: most stable one, least stable two.

=====

one:
{
  "formula": "Pu2Te2S",
  "functional": "PBE",
  "state": "optimized geometry",
  "lattice_angstrom": [[4.2064, 0.0000, 0.0000], [-2.1032, 3.6429, 0.0000], [0.0000, 0.0000, 10.5225]],
  "species": ["Pu", "Pu", "Te", "Te", "S"],
  "fractional_positions": [[0.3333, 0.6667, 0.3523], [0.6667, 0.3333, 0.6477], [0.3333, 0.6667, 0.8187], [0.6667, 0.3333, 0.1813], [0.0000, 0.0000, 0.5000]],
  "n_ef_per_ev_atom": 3.48,
  "magmom_total_mub_per_fu": 10.00,
  "crystal_system": "trigonal"
}

=====

two:
{
  "formula": "Pu2Te2S",
  "functional": "PBE",
  "state": "optimized geometry",
  "lattice_angstrom": [[2.1751, -8.6439, 0.0000], [2.1751, 8.6439, 0.0000], [0.0000, 0.0000, 8.0005]],
  "species": ["Pu", "Pu", "Pu", "Pu", "Te", "Te", "Te", "Te", "S", "S"],
  "fractional_positions": [[0.0489, 0.9511, 0.5000], [0.3215, 0.6785, 0.4164], [0.6785, 0.3215, 0.9164], [0.9511, 0.0489, 0.0000], [0.3011, 0.6989, 0.0276], [0.4476, 0.5524, 0.6968], [0.5524, 0.4476, 0.1968], [0.6989, 0.3011, 0.5276], [0.0960, 0.9040, 0.8373], [0.9040, 0.0960, 0.3373]],
  "n_ef_per_ev_atom": 4.30,
  "magmom_total_mub_per_fu": 0.14,
  "crystal_system": "orthorhombic"
}

=====

Stability summary: most stable two, least stable one.

=====

one:
{
  "formula": "PuThS2",
  "functional": "PBE",
  "state": "optimized geometry",
  "lattice_angstrom": [[1.9870, 1.1472, 6.5735], [-1.9870, 1.1472, 6.5735], [0.0000, -2.2944, 6.5735]],
  "species": ["Pu", "Th", "S", "S"],
  "fractional_positions": [[0.0000, 0.0000, 0.0000], [0.5000, 0.5000, 0.5000], [0.2541, 0.2541, 0.2541], [0.7459, 0.7459, 0.7459]],
  "n_ef_per_ev_atom": 1.55,
  "magmom_total_mub_per_fu": 5.43,
  "crystal_system": "trigonal"
}

=====

two:
{
  "formula": "PuThS2",
  "functional": "PBE",
  "state": "optimized geometry",
  "lattice_angstrom": [[3.9520, 0.0000, 0.0000], [-1.9760, 3.4226, 0.0000], [0.0000, 0.0000, 13.4853]],
  "species": ["Pu", "Pu", "Th", "Th", "S", "S", "S", "S"],
  "fractional_positions": [[0.0000, 0.0000, 0.0000], [0.0000, 0.0000, 0.5000], [0.3333, 0.6667, 0.2500], [0.6667, 0.3333, 0.7500], [0.3333, 0.6667, 0.6181], [0.3333, 0.6667, 0.8819], [0.6667, 0.3333, 0.1181], [0.6667, 0.3333, 0.3819]],
  "n_ef_per_ev_atom": 1.76,
  "magmom_total_mub_per_fu": 5.66,
  "crystal_system": "hexagonal"
}

=====

three:
{
  "formula": "PuThS2",
  "functional": "PBE",
  "state": "optimized geometry",
  "lattice_angstrom": [[1.9510, 1.1264, 7.0415], [-1.9510, 1.1264, 7.0415], [0.0000, -2.2529, 7.0415]],
  "species": ["Pu", "Th", "S", "S"],
  "fractional_positions": [[0.0000, 0.0000, 0.0000], [0.1750, 0.1750, 0.1750], [0.4176, 0.4176, 0.4176], [0.5923, 0.5923, 0.5923]],
  "n_ef_per_ev_atom": 1.74,
  "magmom_total_mub_per_fu": 5.80,
  "crystal_system": "trigonal"
}

=====

Stability summary: most stable one, least stable three.

=====

one:
{
  "formula": "PuTh2S4",
  "functional": "PBE",
  "state": "optimized geometry",
  "lattice_angstrom": [[1.9782, -6.7235, 0.0000], [1.9782, 6.7235, 0.0000], [0.0000, 0.0000, 13.1044]],
  "species": ["Pu", "Pu", "Th", "Th", "Th", "Th", "S", "S", "S", "S", "S", "S", "S", "S"],
  "fractional_positions": [[0.1229, 0.8771, 0.7500], [0.8771, 0.1229, 0.2500], [0.3661, 0.6339, 0.5678], [0.3661, 0.6339, 0.9322], [0.6339, 0.3661, 0.0678], [0.6339, 0.3661, 0.4322], [0.0000, 0.0000, 0.0000], [0.0000, 0.0000, 0.5000], [0.2732, 0.7268, 0.1290], [0.2732, 0.7268, 0.3710], [0.4725, 0.5275, 0.7500], [0.5275, 0.4725, 0.2500], [0.7268, 0.2732, 0.6290], [0.7268, 0.2732, 0.8710]],
  "n_ef_per_ev_atom": 2.05,
  "magmom_total_mub_per_fu": 5.98,
  "crystal_system": "orthorhombic"
}

=====

two:
{
  "formula": "PuTh2S4",
  "functional": "PBE",
  "state": "optimized geometry",
  "lattice_angstrom": [[-4.2283, 4.2283, 4.2384], [4.2283, -4.2283, 4.2384], [4.2283, 4.2283, -4.2384]],
  "species": ["Pu", "Pu", "Th", "Th", "Th", "Th", "S", "S", "S", "S", "S", "S", "S", "S"],
  "fractional_positions": [[0.0000, 0.0000, 0.0000], [0.7500, 0.2500, 0.5000], [0.2527, 0.1250, 0.6277], [0.3750, 0.7473, 0.8723], [0.4973, 0.6250, 0.3723], [0.8750, 0.5027, 0.1277], [0.1218, 0.3744, 0.9015], [0.1244, 0.3718, 0.4015], [0.2772, 0.8756, 0.2474], [0.4728, 0.2202, 0.0985], [0.6256, 0.5272, 0.7474], [0.6282, 0.0298, 0.7526], [0.7798, 0.8782, 0.2526], [0.9702, 0.7228, 0.5985]],
  "n_ef_per_ev_atom": 1.36,
  "magmom_total_mub_per_fu": 5.67,
  "crystal_system": "tetragonal"
}

=====

Stability summary: most stable two, least stable one.

=====

one:
{
  "formula": "PuTl3S4",
  "functional": "PBE",
  "state": "optimized geometry",
  "lattice_angstrom": [[7.6941, 0.0000, 0.0000], [0.0000, 8.7183, 0.0000], [-2.3559, 0.0000, 6.8061]],
  "species": ["Pu", "Pu", "Tl", "Tl", "Tl", "Tl", "Tl", "Tl", "S", "S", "S", "S", "S", "S", "S", "S"],
  "fractional_positions": [[0.0000, 0.1094, 0.2500], [0.0000, 0.8906, 0.7500], [0.0000, 0.3902, 0.7500], [0.0000, 0.6098, 0.2500], [0.5000, 0.1247, 0.7500], [0.5000, 0.3678, 0.2500], [0.5000, 0.6322, 0.7500], [0.5000, 0.8753, 0.2500], [0.1976, 0.1015, 0.0009], [0.1976, 0.8985, 0.5009], [0.2121, 0.3217, 0.4521], [0.2121, 0.6783, 0.9521], [0.7879, 0.3217, 0.0479], [0.7879, 0.6783, 0.5479], [0.8024, 0.1015, 0.4991], [0.8024, 0.8985, 0.9991]],
  "n_ef_per_ev_atom": 0.85,
  "magmom_total_mub_per_fu": 2.96,
  "crystal_system": "monoclinic"
}

=====

two:
{
  "formula": "PuTl3S4",
  "functional": "PBE",
  "state": "optimized geometry",
  "lattice_angstrom": [[4.3977, -6.1306, 0.0000], [4.3977, 6.1306, 0.0000], [0.0000, 0.0000, 4.0969]],
  "species": ["Pu", "Tl", "Tl", "Tl", "S", "S", "S", "S"],
  "fractional_positions": [[0.0000, 0.0000, 0.0000], [0.0000, 0.5000, 0.5000], [0.5000, 0.0000, 0.5000], [0.5000, 0.5000, 0.0000], [0.2034, 0.2034, 0.5000], [0.2143, 0.7857, 0.0000], [0.7857, 0.2143, 0.0000], [0.7966, 0.7966, 0.5000]],
  "n_ef_per_ev_atom": 1.05,
  "magmom_total_mub_per_fu": 3.43,
  "crystal_system": "orthorhombic"
}

=====

Stability summary: most stable one, least stable two.